Record 1
# SCAN NaH2C2N3O, single point on PBEsol structure
# symmetry	P-62c, No. 190
# DFT total energy	-7.7908	eV per atom
data_NaH2C2N3O
_cell_length_a 6.5706
_cell_length_b 10.2260
_cell_length_c 10.2260
_cell_angle_alpha 120.00
_cell_angle_beta 90.00
_cell_angle_gamma 90.00
_space_group_name_H-M_alt 'P 1'
_space_group_IT_number 1
_space_group_name_Hall 'P 1'
loop_
_atom_site_label
_atom_site_type_symbol
_atom_site_fract_x
_atom_site_fract_y
_atom_site_fract_z
H1 H 0.2500 0.6925 0.4852
H2 H 0.2500 0.8249 0.1713
H3 H 0.2500 0.3465 0.1751
H4 H 0.2500 0.5148 0.2073
H5 H 0.7500 0.6535 0.8287
H6 H 0.2500 0.7927 0.3075
H7 H 0.7500 0.1751 0.3465
H8 H 0.7500 0.1713 0.8249
H9 H 0.7500 0.4852 0.6925
H10 H 0.7500 0.2073 0.5148
H11 H 0.7500 0.3075 0.7927
H12 H 0.2500 0.8287 0.6535
N1 N 0.7500 0.0660 0.1546
N2 N 0.2500 0.1546 0.0660
N3 N 0.7500 0.9219 0.3983
N4 N 0.2500 0.9114 0.8454
N5 N 0.7500 0.0886 0.9340
N6 N 0.2500 0.6992 0.8778
N7 N 0.2500 0.5236 0.6017
N8 N 0.7500 0.6017 0.5236
N9 N 0.7500 0.8454 0.9114
N10 N 0.2500 0.9340 0.0886
N11 N 0.2500 0.3983 0.9219
N12 N 0.2500 0.0781 0.4764
N13 N 0.2500 0.1222 0.8215
N14 N 0.7500 0.8778 0.6992
N15 N 0.7500 0.4764 0.0781
N16 N 0.7500 0.8215 0.1222
N17 N 0.2500 0.1785 0.3008
N18 N 0.7500 0.3008 0.1785
O1 O 0.2500 0.4569 0.2599
O2 O 0.7500 0.2599 0.4569
O3 O 0.7500 0.5431 0.8031
O4 O 0.7500 0.1969 0.7401
O5 O 0.2500 0.7401 0.1969
O6 O 0.2500 0.8031 0.5431
C1 C 0.2500 0.6123 0.7323
C2 C 0.7500 0.8800 0.2677
C3 C 0.2500 0.0851 0.1487
C4 C 0.7500 0.1487 0.0851
C5 C 0.7500 0.7323 0.6123
C6 C 0.2500 0.2677 0.8800
C7 C 0.7500 0.9364 0.8513
C8 C 0.7500 0.9149 0.0636
C9 C 0.2500 0.1200 0.3877
C10 C 0.2500 0.8513 0.9364
C11 C 0.2500 0.0636 0.9149
C12 C 0.7500 0.3877 0.1200
Na1 Na 0.5000 0.5962 0.0000
Na2 Na 0.0000 0.4038 0.4038
Na3 Na 0.0000 0.5962 0.0000
Na4 Na 0.5000 0.4038 0.4038
Na5 Na 0.0000 0.0000 0.5962
Na6 Na 0.5000 0.0000 0.5962

***

Record 2
# SCAN NaH4CSNO2, single point on PBEsol structure
# symmetry	C2/c, No. 15
# DFT total energy	-6.7588	eV per atom
data_NaH4CSNO2
_cell_length_a 6.1981
_cell_length_b 9.0838
_cell_length_c 9.0838
_cell_angle_alpha 98.88
_cell_angle_beta 101.74
_cell_angle_gamma 101.74
_space_group_name_H-M_alt 'P 1'
_space_group_IT_number 1
_space_group_name_Hall 'P 1'
loop_
_atom_site_label
_atom_site_type_symbol
_atom_site_fract_x
_atom_site_fract_y
_atom_site_fract_z
O1 O 0.7404 0.4776 0.8050
O2 O 0.1433 0.3093 0.9256
O3 O 0.2404 0.8050 0.4776
O4 O 0.6433 0.9256 0.3093
O5 O 0.8567 0.6907 0.0744
O6 O 0.2596 0.5224 0.1950
O7 O 0.7596 0.1950 0.5224
O8 O 0.3567 0.0744 0.6907
H1 H 0.8072 0.6230 0.1432
H2 H 0.8473 0.5118 0.7428
H3 H 0.6928 0.8568 0.3770
H4 H 0.3473 0.7428 0.5118
H5 H 0.3073 0.1432 0.6230
H6 H 0.8251 0.6170 0.9739
H7 H 0.5957 0.5015 0.7576
H8 H 0.1749 0.3830 0.0261
H9 H 0.3251 0.9739 0.6170
H10 H 0.9043 0.2424 0.4985
H11 H 0.6527 0.2572 0.4882
H12 H 0.4043 0.4985 0.2424
H13 H 0.1928 0.3770 0.8568
H14 H 0.6749 0.0261 0.3830
H15 H 0.0957 0.7576 0.5015
H16 H 0.1527 0.4882 0.2572
N1 N 0.1593 0.0551 0.1880
N2 N 0.6593 0.1880 0.0551
N3 N 0.3407 0.8120 0.9449
N4 N 0.8407 0.9449 0.8120
Na1 Na 0.2500 0.8002 0.1998
Na2 Na 0.7500 0.9300 0.0700
Na3 Na 0.7500 0.1998 0.8002
Na4 Na 0.2500 0.0700 0.9300
C1 C 0.2001 0.1527 0.2995
C2 C 0.2999 0.7005 0.8473
C3 C 0.7999 0.8473 0.7005
C4 C 0.7001 0.2995 0.1527
S1 S 0.2595 0.2905 0.4510
S2 S 0.2405 0.5490 0.7095
S3 S 0.7405 0.7095 0.5490
S4 S 0.7595 0.4510 0.2905

***

Record 3
# SCAN NaH6CSNO3, single point on PBEsol structure
# symmetry	R-3, No. 148
# DFT total energy	-6.4700	eV per atom
data_NaH6CSNO3
_cell_length_a 9.3779
_cell_length_b 10.5466
_cell_length_c 10.5466
_cell_angle_alpha 68.39
_cell_angle_beta 72.76
_cell_angle_gamma 107.24
_space_group_name_H-M_alt 'P 1'
_space_group_IT_number 1
_space_group_name_Hall 'P 1'
loop_
_atom_site_label
_atom_site_type_symbol
_atom_site_fract_x
_atom_site_fract_y
_atom_site_fract_z
H1 H 0.6024 0.3513 0.9994
H2 H 0.5501 0.2777 0.7128
H3 H 0.6019 0.9994 0.6493
H4 H 0.0351 0.7133 0.0232
H5 H 0.0137 0.4900 0.3074
H6 H 0.9863 0.5100 0.6926
H7 H 0.2048 0.3336 0.6649
H8 H 0.7371 0.2872 0.9905
H9 H 0.7952 0.6664 0.3351
H10 H 0.1287 0.4800 0.1764
H11 H 0.2629 0.7128 0.0095
H12 H 0.8697 0.6649 0.0015
H13 H 0.9417 0.9768 0.7365
H14 H 0.3976 0.6487 0.0006
H15 H 0.1303 0.3351 0.9985
H16 H 0.7275 0.9905 0.7223
H17 H 0.9649 0.2867 0.9768
H18 H 0.6781 0.7365 0.2867
H19 H 0.4499 0.7223 0.2872
H20 H 0.5237 0.2026 0.4900
H21 H 0.7489 0.3507 0.6487
H22 H 0.2511 0.6493 0.3513
H23 H 0.8713 0.5200 0.8236
H24 H 0.1288 0.9985 0.6664
H25 H 0.3051 0.1764 0.3436
H26 H 0.3513 0.6564 0.5200
H27 H 0.6487 0.3436 0.4800
H28 H 0.3211 0.3074 0.2026
H29 H 0.0583 0.0232 0.2635
H30 H 0.8712 0.0015 0.3336
H31 H 0.6949 0.8236 0.6564
H32 H 0.3219 0.2635 0.7133
H33 H 0.4763 0.7974 0.5100
H34 H 0.6789 0.6926 0.7974
H35 H 0.3981 0.0006 0.3507
H36 H 0.2725 0.0095 0.2777
Na1 Na 0.9931 0.8164 0.5500
Na2 Na 0.8233 0.3664 0.1836
Na3 Na 0.1767 0.6336 0.8164
Na4 Na 0.0069 0.1836 0.4500
Na5 Na 0.4569 0.4500 0.3664
Na6 Na 0.5431 0.5500 0.6336
N1 N 0.7791 0.9883 0.8701
N2 N 0.3508 0.1299 0.8584
N3 N 0.2209 0.0117 0.1299
N4 N 0.6492 0.8701 0.1416
N5 N 0.7908 0.1416 0.9883
N6 N 0.2092 0.8584 0.0117
O1 O 0.3028 0.2781 0.3089
O2 O 0.6588 0.3693 0.6269
O3 O 0.6972 0.7219 0.6911
O4 O 0.7105 0.9962 0.6307
O5 O 0.3230 0.3530 0.6342
O6 O 0.9572 0.6342 0.0128
O7 O 0.9752 0.5870 0.7219
O8 O 0.6770 0.6470 0.3658
O9 O 0.0248 0.4130 0.2781
O10 O 0.3882 0.6911 0.5870
O11 O 0.2895 0.0038 0.3693
O12 O 0.6118 0.3089 0.4130
O13 O 0.7143 0.3731 0.9962
O14 O 0.3412 0.6307 0.3731
O15 O 0.0300 0.9872 0.6470
O16 O 0.9700 0.0128 0.3530
O17 O 0.2857 0.6269 0.0038
O18 O 0.0428 0.3658 0.9872
S1 S 0.0530 0.7117 0.3167
S2 S 0.3413 0.9716 0.7117
S3 S 0.6303 0.6833 0.0284
S4 S 0.9470 0.2883 0.6833
S5 S 0.6587 0.0284 0.2883
S6 S 0.3697 0.3167 0.9716
C1 C 0.1710 0.8726 0.1387
C2 C 0.8290 0.1274 0.8613
C3 C 0.2984 0.9887 0.8726
C4 C 0.3097 0.1387 0.9887
C5 C 0.7016 0.0113 0.1274
C6 C 0.6903 0.8613 0.0113

***

Record 4
# SCAN NiH6C2N2O4, single point on PBEsol structure
# symmetry	C2/c, No. 15
# DFT total energy	-7.5447	eV per atom
data_NiH6C2N2O4
_cell_length_a 6.6855
_cell_length_b 7.3231
_cell_length_c 7.5080
_cell_angle_alpha 71.19
_cell_angle_beta 63.56
_cell_angle_gamma 62.84
_space_group_name_H-M_alt 'P 1'
_space_group_IT_number 1
_space_group_name_Hall 'P 1'
loop_
_atom_site_label
_atom_site_type_symbol
_atom_site_fract_x
_atom_site_fract_y
_atom_site_fract_z
C1 C 0.9996 0.0277 0.0904
C2 C 0.8822 0.5277 0.5904
C3 C 0.0004 0.9723 0.9096
C4 C 0.1178 0.4723 0.4096
H1 H 0.3080 0.9416 0.4528
H2 H 0.4354 0.1067 0.3089
H3 H 0.1489 0.6067 0.8089
H4 H 0.6677 0.9906 0.7875
H5 H 0.5646 0.8933 0.6911
H6 H 0.6920 0.0584 0.5472
H7 H 0.8511 0.3933 0.1911
H8 H 0.2976 0.4416 0.9528
H9 H 0.5543 0.4906 0.2875
H10 H 0.7024 0.5584 0.0472
H11 H 0.4457 0.5094 0.7125
H12 H 0.3323 0.0094 0.2125
N1 N 0.2972 0.4718 0.8089
N2 N 0.7028 0.5282 0.1911
N3 N 0.5779 0.0282 0.6911
N4 N 0.4221 0.9718 0.3089
O1 O 0.6904 0.6374 0.5513
O2 O 0.8794 0.9622 0.2639
O3 O 0.1055 0.5378 0.2361
O4 O 0.1206 0.0378 0.7361
O5 O 0.1210 0.1374 0.0513
O6 O 0.8790 0.8627 0.9487
O7 O 0.3096 0.3626 0.4487
O8 O 0.8945 0.4622 0.7639
Ni1 Ni 0.7557 0.7500 0.2500
Ni2 Ni 0.2443 0.2500 0.7500

***

Record 5
# SCAN NiH10C4S2N8, single point on PBEsol structure
# symmetry	C2/c, No. 15
# DFT total energy	-7.6177	eV per atom
data_NiH10C4S2N8
_cell_length_a 7.7010
_cell_length_b 8.2811
_cell_length_c 9.0972
_cell_angle_alpha 108.30
_cell_angle_beta 90.00
_cell_angle_gamma 117.71
_space_group_name_H-M_alt 'P 1'
_space_group_IT_number 1
_space_group_name_Hall 'P 1'
loop_
_atom_site_label
_atom_site_type_symbol
_atom_site_fract_x
_atom_site_fract_y
_atom_site_fract_z
N1 N 0.7760 0.1012 0.6609
N2 N 0.9506 0.6798 0.4126
N3 N 0.6244 0.6063 0.3757
N4 N 0.0181 0.3937 0.1243
N5 N 0.3253 0.1012 0.1609
N6 N 0.6747 0.8988 0.8391
N7 N 0.9819 0.6063 0.8757
N8 N 0.0494 0.3202 0.5874
N9 N 0.8643 0.8606 0.3057
N10 N 0.3756 0.3937 0.6243
N11 N 0.0037 0.1394 0.1943
N12 N 0.9963 0.8606 0.8057
N13 N 0.2240 0.8988 0.3391
N14 N 0.2708 0.3202 0.0874
N15 N 0.7292 0.6798 0.9126
N16 N 0.1357 0.1394 0.6943
C1 C 0.8134 0.7208 0.3625
C2 C 0.0926 0.2792 0.1375
C3 C 0.9074 0.7208 0.8625
C4 C 0.1516 0.7776 0.4151
C5 C 0.6260 0.7776 0.9151
C6 C 0.3740 0.2224 0.0849
C7 C 0.1866 0.2792 0.6375
C8 C 0.8484 0.2224 0.5849
H1 H 0.7425 0.8653 0.2647
H2 H 0.6217 0.0268 0.6399
H3 H 0.5953 0.4937 0.4130
H4 H 0.8772 0.1347 0.2353
H5 H 0.3308 0.4322 0.0424
H6 H 0.1016 0.5063 0.0870
H7 H 0.1228 0.8653 0.7647
H8 H 0.3783 0.9732 0.3601
H9 H 0.5949 0.9732 0.8601
H10 H 0.8986 0.5678 0.4576
H11 H 0.6692 0.5678 0.9576
H12 H 0.1321 0.6530 0.8822
H13 H 0.1014 0.4322 0.5424
H14 H 0.4051 0.0268 0.1399
H15 H 0.4791 0.3470 0.6178
H16 H 0.8679 0.3470 0.1178
H17 H 0.5209 0.6530 0.3822
H18 H 0.2575 0.1347 0.7353
H19 H 0.8984 0.4937 0.9130
H20 H 0.4047 0.5063 0.5870
S1 S 0.5587 0.2612 0.9709
S2 S 0.7025 0.2612 0.4709
S3 S 0.2975 0.7388 0.5291
S4 S 0.4413 0.7388 0.0291
Ni1 Ni 0.8957 0.0000 0.7500
Ni2 Ni 0.1043 0.0000 0.2500

***

Record 6
# SCAN ZnP2H13C2N6O8, single point on PBEsol structure
# symmetry	Pna2_1, No. 33
# DFT total energy	-7.3760	eV per atom
data_ZnP2H13C2N6O8
_cell_length_a 9.6710
_cell_length_b 10.4548
_cell_length_c 12.7557
_cell_angle_alpha 90.00
_cell_angle_beta 90.00
_cell_angle_gamma 90.00
_space_group_name_H-M_alt 'P 1'
_space_group_IT_number 1
_space_group_name_Hall 'P 1'
loop_
_atom_site_label
_atom_site_type_symbol
_atom_site_fract_x
_atom_site_fract_y
_atom_site_fract_z
O1 O 0.2595 0.2761 0.2008
O2 O 0.8469 0.9622 0.0920
O3 O 0.5054 0.7990 0.8047
O4 O 0.8469 0.4622 0.4080
O5 O 0.7712 0.6569 0.5035
O6 O 0.2712 0.8431 0.0035
O7 O 0.7595 0.2239 0.7008
O8 O 0.8516 0.9657 0.8890
O9 O 0.2595 0.7761 0.2992
O10 O 0.6252 0.2660 0.8692
O11 O 0.3516 0.0343 0.1110
O12 O 0.5654 0.5785 0.7524
O13 O 0.5054 0.2990 0.6953
O14 O 0.0054 0.2010 0.1953
O15 O 0.0054 0.7010 0.3047
O16 O 0.7595 0.7239 0.7992
O17 O 0.5654 0.0785 0.7476
O18 O 0.3469 0.5378 0.5920
O19 O 0.7712 0.1569 0.9965
O20 O 0.1276 0.5472 0.4911
O21 O 0.0654 0.9215 0.2524
O22 O 0.1252 0.2340 0.3692
O23 O 0.6252 0.7660 0.6308
O24 O 0.3516 0.5343 0.3890
O25 O 0.6276 0.9528 0.9911
O26 O 0.1252 0.7340 0.1308
O27 O 0.0654 0.4215 0.2476
O28 O 0.2712 0.3431 0.4965
O29 O 0.8516 0.4657 0.6110
O30 O 0.3469 0.0378 0.9080
O31 O 0.1276 0.0472 0.0089
O32 O 0.6276 0.4528 0.5089
H1 H 0.8214 0.2424 0.2326
H2 H 0.4072 0.2950 0.2845
H3 H 0.7449 0.4030 0.8932
H4 H 0.3885 0.6701 0.9633
H5 H 0.1530 0.8378 0.8838
H6 H 0.3696 0.2954 0.0464
H7 H 0.8214 0.7424 0.2674
H8 H 0.4072 0.7950 0.2155
H9 H 0.7694 0.0651 0.6446
H10 H 0.6530 0.1622 0.1162
H11 H 0.2449 0.0970 0.3932
H12 H 0.2050 0.7973 0.0647
H13 H 0.3214 0.2576 0.7326
H14 H 0.8885 0.8299 0.4633
H15 H 0.7677 0.3529 0.3281
H16 H 0.7449 0.9030 0.6068
H17 H 0.3696 0.7954 0.4536
H18 H 0.9816 0.8629 0.8400
H19 H 0.2694 0.4349 0.1446
H20 H 0.3885 0.1701 0.5367
H21 H 0.9072 0.2050 0.7845
H22 H 0.4816 0.6371 0.3400
H23 H 0.6530 0.6622 0.3838
H24 H 0.2449 0.5970 0.1068
H25 H 0.2694 0.9349 0.3554
H26 H 0.7050 0.7027 0.5647
H27 H 0.9831 0.1657 0.4418
H28 H 0.7677 0.8529 0.1719
H29 H 0.5299 0.3571 0.3763
H30 H 0.4683 0.0597 0.6206
H31 H 0.7050 0.2027 0.9353
H32 H 0.8885 0.3299 0.0367
H33 H 0.9072 0.7050 0.7155
H34 H 0.9683 0.9403 0.3794
H35 H 0.4816 0.1371 0.1600
H36 H 0.1530 0.3378 0.6162
H37 H 0.7694 0.5651 0.8554
H38 H 0.2050 0.2973 0.4353
H39 H 0.2677 0.1471 0.8281
H40 H 0.5299 0.8571 0.1237
H41 H 0.9816 0.3629 0.6600
H42 H 0.8696 0.7046 0.9536
H43 H 0.2677 0.6471 0.6719
H44 H 0.4831 0.3343 0.9418
H45 H 0.8696 0.2046 0.5464
H46 H 0.4831 0.8343 0.5582
H47 H 0.0299 0.6429 0.6237
H48 H 0.4683 0.5597 0.8794
H49 H 0.3214 0.7576 0.7674
H50 H 0.9683 0.4403 0.1206
H51 H 0.9831 0.6657 0.0582
H52 H 0.0299 0.1429 0.8763
P1 P 0.6168 0.2195 0.7531
P2 P 0.7775 0.5050 0.5109
P3 P 0.1168 0.2805 0.2531
P4 P 0.2775 0.4950 0.4891
P5 P 0.1168 0.7805 0.2469
P6 P 0.2775 0.9950 0.0109
P7 P 0.6168 0.7195 0.7469
P8 P 0.7775 0.0050 0.9891
C1 C 0.1089 0.7456 0.7470
C2 C 0.3720 0.4843 0.0120
C3 C 0.6089 0.7544 0.2470
C4 C 0.8720 0.5157 0.9880
C5 C 0.1089 0.2456 0.7530
C6 C 0.3720 0.9843 0.4880
C7 C 0.8720 0.0157 0.5120
C8 C 0.6089 0.2544 0.2530
N1 N 0.0783 0.3217 0.6720
N2 N 0.5783 0.6783 0.3280
N3 N 0.9128 0.4231 0.0529
N4 N 0.4128 0.5769 0.9471
N5 N 0.7404 0.7850 0.2280
N6 N 0.4091 0.8623 0.5039
N7 N 0.5074 0.7985 0.1859
N8 N 0.5783 0.1783 0.1720
N9 N 0.2404 0.2150 0.7720
N10 N 0.5074 0.2985 0.3141
N11 N 0.2404 0.7150 0.7280
N12 N 0.0074 0.7015 0.6859
N13 N 0.4128 0.0769 0.5529
N14 N 0.2928 0.0101 0.4051
N15 N 0.9128 0.9231 0.4471
N16 N 0.9091 0.6377 0.0039
N17 N 0.2928 0.5101 0.0949
N18 N 0.7928 0.4899 0.9051
N19 N 0.4091 0.3623 0.9961
N20 N 0.7928 0.9899 0.5949
N21 N 0.0074 0.2015 0.8141
N22 N 0.0783 0.8217 0.8280
N23 N 0.9091 0.1377 0.4961
N24 N 0.7404 0.2850 0.2720
Zn1 Zn 0.0227 0.5330 0.3629
Zn2 Zn 0.0227 0.0330 0.1371
Zn3 Zn 0.5227 0.4670 0.6371
Zn4 Zn 0.5227 0.9670 0.8629

***

Question: Look up the DFT total energy of the third one.
Answer: -6.4700 eV per atom

***

Question: DFT total energy of number 2 (NaH4CSNO2)?
Answer: -6.7588 eV per atom

***

Question: DFT total energy of number 4 (NiH6C2N2O4)?
Answer: -7.5447 eV per atom